## PrHoEr2Tl4 (GGA-PBE)

Data for a geometry-optimized PrHoEr2Tl4 structure.

Values from the calculation:
**Total magnetization**: 0.000 μB/f.u.
**Energy relative to the elements**: -2.6 eV per formula unit
**Calculated volume**: 668 Å³/cell

Cell lengths 5.3902, 5.3902, 26.5434 Å; angles 90.00, 90.00, 120.00 degrees
Space group R-3m (No. 166, hexagonal axes)
One atom of each set of equivalent atoms:
Pr  0.0000  0.0000  0.0000 (multiplicity 3)
Ho  0.0000  0.0000  0.5000 (multiplicity 3)
Er  0.0000  0.0000  0.2493 (multiplicity 6)
Tl  0.0000  0.0000  0.1270 (multiplicity 6)
Tl  0.0000  0.0000  0.3772 (multiplicity 6)

=====

## Al2HIr (GGA-PBE)

Data for a geometry-optimized Al2HIr structure.

Values from the calculation:
**Total magnetization**: 0.001 μB/f.u.
**Calculated volume**: 206 Å³/cell
**Raw total energy**: -4.947 eV/atom

Cell lengths 5.910, 5.910, 5.910 Å; angles 90.00, 90.00, 90.00 degrees
Space group Fm-3m (No. 225)
One atom of each set of equivalent atoms:
Al  0.250  0.250  0.250 (multiplicity 8)
H  0.000  0.000  0.000 (multiplicity 4)
Ir  0.000  0.000  0.500 (multiplicity 4)

=====

## TaVFeAs2 (GGA-PBE)

Data for a geometry-optimized TaVFeAs2 structure.

Values from the calculation:
**Total magnetization**: 0.066 μB/f.u.
**Energy relative to the elements**: 4.4 eV per formula unit
**Calculated volume**: 90 Å³/cell

Cell lengths 4.417, 4.417, 4.613 Å; angles 90.00, 90.00, 90.00 degrees
Space group P4/mmm (No. 123)
One atom of each set of equivalent atoms:
Ta  0.000  0.000  0.000 (multiplicity 1)
V  0.500  0.500  0.000 (multiplicity 1)
Fe  0.000  0.000  0.500 (multiplicity 1)
As  0.000  0.500  0.500 (multiplicity 2)

=====

## KCu2ReGe (GGA-PBE)

Data for a geometry-optimized KCu2ReGe structure.

Values from the calculation:
**Total magnetization**: 0.242 μB/f.u.
**Energy relative to the elements**: 8.7 eV per formula unit
**Calculated volume**: 124 Å³/cell

Cell lengths 4.760, 4.760, 5.463 Å; angles 90.00, 90.00, 90.00 degrees
Space group P4/mmm (No. 123)
One atom of each set of equivalent atoms:
K  0.000  0.000  0.000 (multiplicity 1)
Cu  0.000  0.500  0.500 (multiplicity 2)
Re  0.000  0.000  0.500 (multiplicity 1)
Ge  0.500  0.500  0.000 (multiplicity 1)